{"formula": "Tb3AlFe8", "functional": "PBE-GGA", "state": "relaxed", "e_form_ev_per_fu": -1.08, "dos_at_fermi_per_ev_cell": 12.435, "e_tot_ev_per_atom": -7.20, "lattice_angstrom": [[2.523, 1.457, 8.239], [-2.523, 1.457, 8.239], [0.000, -2.914, 8.239]], "species": ["Tb", "Tb", "Tb", "Al", "Fe", "Fe", "Fe", "Fe", "Fe", "Fe", "Fe", "Fe"], "fractional_positions": [[0.000, 0.000, 0.000], [0.127, 0.127, 0.127], [0.506, 0.506, 0.506], [0.629, 0.629, 0.629], [0.058, 0.564, 0.564], [0.067, 0.067, 0.569], [0.067, 0.569, 0.067], [0.315, 0.315, 0.315], [0.564, 0.058, 0.564], [0.564, 0.564, 0.058], [0.569, 0.067, 0.067], [0.815, 0.815, 0.815]]}